Zr6Al16Ir7 | PBE | optimized geometry

```
data_Zr6Al16Ir7
_symmetry_space_group_name_H-M 'F m -3 m'
_symmetry_Int_Tables_number 225
_symmetry_space_group_name_Hall '-F 4 2 3'
_cell_length_a 12.3673
_cell_length_b 12.3673
_cell_length_c 12.3673
_cell_angle_alpha 90.00
_cell_angle_beta 90.00
_cell_angle_gamma 90.00
loop_
_atom_site_label
_atom_site_fract_x
_atom_site_fract_y
_atom_site_fract_z
Zr1 0.0000 0.0000 0.1892
Al1 0.1199 0.1199 0.3801
Al2 0.1622 0.1622 0.1622
Ir1 0.0000 0.0000 0.5000
Ir2 0.0000 0.2500 0.2500
```

Computed properties:
- crystal system = cubic
- total magnetic moment (μB/f.u.) = 0.01
- total energy (eV/atom) = -6.833

***

Zr2AlIr | PBE | optimized geometry

```
data_Zr2AlIr
_symmetry_space_group_name_H-M 'F -4 3 m'
_symmetry_Int_Tables_number 216
_symmetry_space_group_name_Hall 'F -4 2 3'
_cell_length_a 6.6191
_cell_length_b 6.6191
_cell_length_c 6.6191
_cell_angle_alpha 90.00
_cell_angle_beta 90.00
_cell_angle_gamma 90.00
loop_
_atom_site_label
_atom_site_fract_x
_atom_site_fract_y
_atom_site_fract_z
Zr1 0.0000 0.0000 0.0000
Zr2 0.2500 0.2500 0.2500
Al1 0.0000 0.0000 0.5000
Ir1 0.2500 0.2500 0.7500
```

Computed properties:
- crystal system = cubic
- total magnetic moment (μB/f.u.) = 2.00
- total energy (eV/atom) = -7.833

***

ZrAl2Ir | PBE | optimized geometry

```
data_ZrAl2Ir
_symmetry_space_group_name_H-M 'F -4 3 m'
_symmetry_Int_Tables_number 216
_symmetry_space_group_name_Hall 'F -4 2 3'
_cell_length_a 6.4422
_cell_length_b 6.4422
_cell_length_c 6.4422
_cell_angle_alpha 90.00
_cell_angle_beta 90.00
_cell_angle_gamma 90.00
loop_
_atom_site_label
_atom_site_fract_x
_atom_site_fract_y
_atom_site_fract_z
Zr1 0.0000 0.0000 0.0000
Al1 0.0000 0.0000 0.5000
Al2 0.2500 0.2500 0.7500
Ir1 0.2500 0.2500 0.2500
```

Computed properties:
- crystal system = cubic
- total magnetic moment (μB/f.u.) = 0.00
- total energy (eV/atom) = -6.792

***

ZrAl2Ir2 | PBE | optimized geometry

```
data_ZrAl2Ir2
_symmetry_space_group_name_H-M 'I 4/m m m'
_symmetry_Int_Tables_number 139
_symmetry_space_group_name_Hall '-I 4 2'
_cell_length_a 3.7166
_cell_length_b 3.7166
_cell_length_c 12.3030
_cell_angle_alpha 90.00
_cell_angle_beta 90.00
_cell_angle_gamma 90.00
loop_
_atom_site_label
_atom_site_fract_x
_atom_site_fract_y
_atom_site_fract_z
Zr1 0.0000 0.0000 0.0000
Al1 0.0000 0.5000 0.2500
Ir1 0.0000 0.0000 0.3921
```

Computed properties:
- crystal system = tetragonal
- total magnetic moment (μB/f.u.) = 0.00
- total energy (eV/atom) = -7.484

***

KLuAl | PBE | optimized geometry

```
data_KLuAl
_symmetry_space_group_name_H-M 'F -4 3 m'
_symmetry_Int_Tables_number 216
_symmetry_space_group_name_Hall 'F -4 2 3'
_cell_length_a 7.5634
_cell_length_b 7.5634
_cell_length_c 7.5634
_cell_angle_alpha 90.00
_cell_angle_beta 90.00
_cell_angle_gamma 90.00
loop_
_atom_site_label
_atom_site_fract_x
_atom_site_fract_y
_atom_site_fract_z
K1 0.0000 0.0000 0.0000
Lu1 0.0000 0.0000 0.5000
Al1 0.2500 0.2500 0.2500
```

Computed properties:
- crystal system = cubic
- excess energy over the best structure of this formula in the dataset (meV/atom) = 0.0
- total magnetic moment (μB/f.u.) = 0.99
- total energy (eV/atom) = -2.529

***

KLuAlS3 | PBE | optimized geometry

```
data_KLuAlS3
_symmetry_space_group_name_H-M 'C m c m'
_symmetry_Int_Tables_number 63
_symmetry_space_group_name_Hall '-C 2c 2'
_cell_length_a 3.9618
_cell_length_b 14.3121
_cell_length_c 10.3085
_cell_angle_alpha 90.00
_cell_angle_beta 90.00
_cell_angle_gamma 90.00
loop_
_atom_site_label
_atom_site_fract_x
_atom_site_fract_y
_atom_site_fract_z
K1 0.0000 0.2405 0.2500
Lu1 0.0000 0.5000 0.0000
Al1 0.0000 0.0324 0.7500
S1 0.0000 0.1244 0.5715
S2 0.0000 0.4442 0.7500
```

Computed properties:
- crystal system = orthorhombic
- total magnetic moment (μB/f.u.) = 0.01
- total energy (eV/atom) = -4.993

***

KLuAlSe3 | PBE | optimized geometry

```
data_KLuAlSe3
_symmetry_space_group_name_H-M 'C m c m'
_symmetry_Int_Tables_number 63
_symmetry_space_group_name_Hall '-C 2c 2'
_cell_length_a 4.2833
_cell_length_b 14.7221
_cell_length_c 10.7666
_cell_angle_alpha 90.00
_cell_angle_beta 90.00
_cell_angle_gamma 90.00
loop_
_atom_site_label
_atom_site_fract_x
_atom_site_fract_y
_atom_site_fract_z
K1 0.0000 0.2451 0.2500
Lu1 0.0000 0.5000 0.0000
Al1 0.0000 0.0277 0.7500
Se1 0.0000 0.1247 0.5665
Se2 0.0000 0.4391 0.7500
```

Computed properties:
- crystal system = orthorhombic
- total magnetic moment (μB/f.u.) = 0.39
- total energy (eV/atom) = -4.526

***

KMgAlWS6 | PBE | optimized geometry

```
data_KMgAlWS6
_symmetry_space_group_name_H-M 'F -4 3 m'
_symmetry_Int_Tables_number 216
_symmetry_space_group_name_Hall 'F -4 2 3'
_cell_length_a 9.6779
_cell_length_b 9.6779
_cell_length_c 9.6779
_cell_angle_alpha 90.00
_cell_angle_beta 90.00
_cell_angle_gamma 90.00
loop_
_atom_site_label
_atom_site_fract_x
_atom_site_fract_y
_atom_site_fract_z
K1 0.0000 0.0000 0.0000
Mg1 0.2500 0.2500 0.7500
Al1 0.0000 0.0000 0.5000
W1 0.2500 0.2500 0.2500
S1 0.0065 0.2500 0.2500
```

Computed properties:
- crystal system = cubic
- excess energy over the best structure of this formula in the dataset (meV/atom) = 565.3
- total magnetic moment (μB/f.u.) = 0.00
- total energy (eV/atom) = -4.733

***

KMgAlWS6 | PBE | optimized geometry

```
data_KMgAlWS6
_symmetry_space_group_name_H-M 'P 1 21 1'
_symmetry_Int_Tables_number 4
_cell_length_a 6.1386
_cell_length_b 6.2022
_cell_length_c 12.0851
_cell_angle_alpha 90.00
_cell_angle_beta 97.10
_cell_angle_gamma 90.00
loop_
_symmetry_equiv_pos_as_xyz
'x,y,z'
'-x,y+1/2,-z'
loop_
_atom_site_label
_atom_site_fract_x
_atom_site_fract_y
_atom_site_fract_z
K1 0.2166 0.0000 0.0164
Mg1 0.2682 0.4695 0.6709
Al1 0.2205 0.9567 0.5051
W1 0.2108 0.4830 0.2473
S1 0.0503 0.1593 0.2313
S2 0.1100 0.1680 0.7738
S3 0.1266 0.3275 0.4847
S4 0.3204 0.5175 0.0803
S5 0.3665 0.8001 0.3598
S6 0.4297 0.8355 0.6625
```

Computed properties:
- crystal system = monoclinic
- excess energy over the best structure of this formula in the dataset (meV/atom) = 104.9
- total magnetic moment (μB/f.u.) = 0.00
- total energy (eV/atom) = -5.194

***

KMgAlWS6 | PBE | optimized geometry

```
data_KMgAlWS6
_symmetry_space_group_name_H-M 'R 3'
_symmetry_Int_Tables_number 146
_symmetry_space_group_name_Hall 'R 3'
_cell_length_a 6.1815
_cell_length_b 6.1815
_cell_length_c 23.4890
_cell_angle_alpha 90.00
_cell_angle_beta 90.00
_cell_angle_gamma 120.00
loop_
_atom_site_label
_atom_site_fract_x
_atom_site_fract_y
_atom_site_fract_z
K1 0.0000 0.0000 0.0000
Mg1 0.0000 0.0000 0.4857
Al1 0.0000 0.0000 0.8174
W1 0.0000 0.0000 0.1811
S1 0.0078 0.3527 0.5563
S2 0.0386 0.6875 0.7735
```

Computed properties:
- crystal system = trigonal
- excess energy over the best structure of this formula in the dataset (meV/atom) = 0.0
- total magnetic moment (μB/f.u.) = 0.00
- total energy (eV/atom) = -5.299

***

KMgAlWS6 | PBE | optimized geometry

```
data_KMgAlWS6
_symmetry_space_group_name_H-M 'C 1 2/m 1'
_symmetry_Int_Tables_number 12
_cell_length_a 9.7218
_cell_length_b 10.1134
_cell_length_c 9.1392
_cell_angle_alpha 90.00
_cell_angle_beta 96.48
_cell_angle_gamma 90.00
loop_
_symmetry_equiv_pos_as_xyz
'x,y,z'
'-x,-y,-z'
'-x,y,-z'
'x,-y,z'
'x+1/2,y+1/2,z'
'-x+1/2,-y+1/2,-z'
'-x+1/2,y+1/2,-z'
'x+1/2,-y+1/2,z'
loop_
_atom_site_label
_atom_site_fract_x
_atom_site_fract_y
_atom_site_fract_z
K1 0.0000 0.2320 0.0000
Mg1 0.2185 0.5000 0.7586
Al1 0.0000 0.1579 0.5000
W1 0.2392 0.5000 0.2713
S1 0.0188 0.5000 0.1684
S2 0.0408 0.0000 0.3295
S3 0.1541 0.5000 0.4912
S4 0.1787 0.2269 0.6725
S5 0.1988 0.0000 0.9763
```

Computed properties:
- crystal system = monoclinic
- excess energy over the best structure of this formula in the dataset (meV/atom) = 211.7
- total magnetic moment (μB/f.u.) = 0.00
- total energy (eV/atom) = -5.087

***

KAlMo | PBE | optimized geometry

```
data_KAlMo
_symmetry_space_group_name_H-M 'F -4 3 m'
_symmetry_Int_Tables_number 216
_symmetry_space_group_name_Hall 'F -4 2 3'
_cell_length_a 7.3280
_cell_length_b 7.3280
_cell_length_c 7.3280
_cell_angle_alpha 90.00
_cell_angle_beta 90.00
_cell_angle_gamma 90.00
loop_
_atom_site_label
_atom_site_fract_x
_atom_site_fract_y
_atom_site_fract_z
K1 0.0000 0.0000 0.0000
Al1 0.2500 0.2500 0.7500
Mo1 0.2500 0.2500 0.2500
```

Computed properties:
- crystal system = cubic
- excess energy over the best structure of this formula in the dataset (meV/atom) = 584.7
- total magnetic moment (μB/f.u.) = 4.13
- total energy (eV/atom) = -3.101

***

KAlMo | PBE | optimized geometry

```
data_KAlMo
_symmetry_space_group_name_H-M 'F -4 3 m'
_symmetry_Int_Tables_number 216
_symmetry_space_group_name_Hall 'F -4 2 3'
_cell_length_a 6.9668
_cell_length_b 6.9668
_cell_length_c 6.9668
_cell_angle_alpha 90.00
_cell_angle_beta 90.00
_cell_angle_gamma 90.00
loop_
_atom_site_label
_atom_site_fract_x
_atom_site_fract_y
_atom_site_fract_z
K1 0.0000 0.0000 0.0000
Al1 0.2500 0.2500 0.2500
Mo1 0.0000 0.0000 0.5000
```

Computed properties:
- crystal system = cubic
- excess energy over the best structure of this formula in the dataset (meV/atom) = 0.0
- total magnetic moment (μB/f.u.) = 3.11
- total energy (eV/atom) = -3.686

***

K2Nb2Al2O7 | PBE | optimized geometry

```
data_K2Nb2Al2O7
_symmetry_space_group_name_H-M 'P -3 m 1'
_symmetry_Int_Tables_number 164
_symmetry_space_group_name_Hall '-P 3 2"'
_cell_length_a 5.7756
_cell_length_b 5.7756
_cell_length_c 7.7745
_cell_angle_alpha 90.00
_cell_angle_beta 90.00
_cell_angle_gamma 120.00
loop_
_atom_site_label
_atom_site_fract_x
_atom_site_fract_y
_atom_site_fract_z
K1 0.3333 0.6667 0.1226
Nb1 0.3333 0.6667 0.6906
Al1 0.0000 0.0000 0.2858
O1 0.0000 0.0000 0.5000
O2 0.1642 0.3285 0.7997
```

Computed properties:
- crystal system = trigonal
- total magnetic moment (μB/f.u.) = 0.07
- total energy (eV/atom) = -7.020

***

KNdAl | PBE | optimized geometry

```
data_KNdAl
_symmetry_space_group_name_H-M 'F -4 3 m'
_symmetry_Int_Tables_number 216
_symmetry_space_group_name_Hall 'F -4 2 3'
_cell_length_a 7.3823
_cell_length_b 7.3823
_cell_length_c 7.3823
_cell_angle_alpha 90.00
_cell_angle_beta 90.00
_cell_angle_gamma 90.00
loop_
_atom_site_label
_atom_site_fract_x
_atom_site_fract_y
_atom_site_fract_z
K1 0.0000 0.0000 0.0000
Nd1 0.2500 0.2500 0.7500
Al1 0.2500 0.2500 0.2500
```

Computed properties:
- crystal system = cubic
- total magnetic moment (μB/f.u.) = 0.00
- total energy (eV/atom) = -2.354

***

KAlNiS3 | PBE | optimized geometry

```
data_KAlNiS3
_symmetry_space_group_name_H-M 'C m c m'
_symmetry_Int_Tables_number 63
_symmetry_space_group_name_Hall '-C 2c 2'
_cell_length_a 3.5669
_cell_length_b 14.0745
_cell_length_c 9.8772
_cell_angle_alpha 90.00
_cell_angle_beta 90.00
_cell_angle_gamma 90.00
loop_
_atom_site_label
_atom_site_fract_x
_atom_site_fract_y
_atom_site_fract_z
K1 0.0000 0.2488 0.2500
Al1 0.0000 0.5000 0.0000
Ni1 0.0000 0.0331 0.7500
S1 0.0000 0.1110 0.5499
S2 0.0000 0.4415 0.7500
```

Computed properties:
- crystal system = orthorhombic
- total magnetic moment (μB/f.u.) = 1.52
- total energy (eV/atom) = -4.585

***

KAlNiSe3 | PBE | optimized geometry

```
data_KAlNiSe3
_symmetry_space_group_name_H-M 'C m c m'
_symmetry_Int_Tables_number 63
_symmetry_space_group_name_Hall '-C 2c 2'
_cell_length_a 3.7305
_cell_length_b 14.7482
_cell_length_c 10.3027
_cell_angle_alpha 90.00
_cell_angle_beta 90.00
_cell_angle_gamma 90.00
loop_
_atom_site_label
_atom_site_fract_x
_atom_site_fract_y
_atom_site_fract_z
K1 0.0000 0.2477 0.2500
Al1 0.0000 0.0000 0.0000
Ni1 0.0000 0.4686 0.7500
Se1 0.0000 0.0643 0.7500
Se2 0.0000 0.3860 0.5501
```

Computed properties:
- crystal system = orthorhombic
- total magnetic moment (μB/f.u.) = 1.31
- total energy (eV/atom) = -4.140

***

KAlNiTe3 | PBE | optimized geometry

```
data_KAlNiTe3
_symmetry_space_group_name_H-M 'C m c m'
_symmetry_Int_Tables_number 63
_symmetry_space_group_name_Hall '-C 2c 2'
_cell_length_a 4.1319
_cell_length_b 14.3176
_cell_length_c 11.5394
_cell_angle_alpha 90.00
_cell_angle_beta 90.00
_cell_angle_gamma 90.00
loop_
_atom_site_label
_atom_site_fract_x
_atom_site_fract_y
_atom_site_fract_z
K1 0.0000 0.2363 0.2500
Al1 0.0000 0.5000 0.0000
Ni1 0.0000 0.0714 0.7500
Te1 0.0000 0.1292 0.5436
Te2 0.0000 0.4749 0.7500
```

Computed properties:
- crystal system = orthorhombic
- total magnetic moment (μB/f.u.) = 0.03
- total energy (eV/atom) = -3.714

***

KAlRe2O8 | PBE | optimized geometry

```
data_KAlRe2O8
_symmetry_space_group_name_H-M 'P -3 m 1'
_symmetry_Int_Tables_number 164
_symmetry_space_group_name_Hall '-P 3 2"'
_cell_length_a 5.5418
_cell_length_b 5.5418
_cell_length_c 6.8186
_cell_angle_alpha 90.00
_cell_angle_beta 90.00
_cell_angle_gamma 120.00
loop_
_atom_site_label
_atom_site_fract_x
_atom_site_fract_y
_atom_site_fract_z
K1 0.0000 0.0000 0.0000
Al1 0.0000 0.0000 0.5000
Re1 0.3333 0.6667 0.7510
O1 0.1560 0.3121 0.6635
O2 0.3333 0.6667 0.0100
```

Computed properties:
- crystal system = trigonal
- total magnetic moment (μB/f.u.) = 2.00
- total energy (eV/atom) = -7.545

***

KTaAl2O6 | PBE | optimized geometry

```
data_KTaAl2O6
_symmetry_space_group_name_H-M 'P m n 21'
_symmetry_Int_Tables_number 31
_cell_length_a 7.8550
_cell_length_b 3.4367
_cell_length_c 9.6085
_cell_angle_alpha 90.00
_cell_angle_beta 90.00
_cell_angle_gamma 90.00
loop_
_symmetry_equiv_pos_as_xyz
'x,y,z'
'-x+1/2,-y,z+1/2'
'-x,y,z'
'x+1/2,-y,z+1/2'
loop_
_atom_site_label
_atom_site_fract_x
_atom_site_fract_y
_atom_site_fract_z
K1 0.0000 0.1978 0.0000
Ta1 0.0000 0.7644 0.3967
Al1 0.1949 0.7246 0.7198
O1 0.0000 0.2668 0.3122
O2 0.0000 0.7153 0.8042
O3 0.1709 0.7386 0.5354
O4 0.2187 0.7738 0.2498
```

Computed properties:
- crystal system = orthorhombic
- total magnetic moment (μB/f.u.) = 0.00
- total energy (eV/atom) = -7.688